TbPmSe2 | PBE-GGA | optimized geometry

Computed properties:
Uncorrected formation energy in eV per atom: -1.57
Space-group type: No. 225
Total magnetization in μB/f.u.: 0.0
ΔE to the lowest computed polymorph in eV/atom: 0.234

Unit cell a=5.0844 b=5.0844 c=5.0844 alpha=60.00 beta=60.00 gamma=60.00
With the nearest neighbours (Å) after each atom.
Fractional coordinates of all 4 atoms:
Tb (0.0000, 0.0000, 0.0000)  8 Se 3.11
Se (0.2500, 0.2500, 0.2500)  4 Tb 3.11, 4 Pm 3.11
Se (0.7500, 0.7500, 0.7500)  4 Pm 3.11, 4 Tb 3.11
Pm (0.5000, 0.5000, 0.5000)  8 Se 3.11